The following is a DFT calculation (PBE) of crystalline ErNi3Rh at its relaxed geometry. Values from VASP.

```
&SYSTEM
  ibrav = 0, nat = 10, ntyp = 3
/
ATOMIC_SPECIES
Ni 58.69 Ni.upf
Rh 102.91 Rh.upf
Er 167.26 Er.upf
CELL_PARAMETERS angstrom
-1.7931 2.6130 -2.9349
-0.9653 -6.6574 -5.3374
-3.1215 4.9323 6.2984
ATOMIC_POSITIONS crystal
Ni 0.7500 0.9848 0.5339
Ni 0.7500 0.4661 0.0152
Ni 0.2500 0.5339 0.9848
Ni 0.0000 0.0000 0.0000
Ni 0.5000 0.0000 0.0000
Ni 0.2500 0.0152 0.4661
Rh 0.7500 0.8610 0.1390
Rh 0.2500 0.1390 0.8610
Er 0.2500 0.4136 0.5864
Er 0.7500 0.5864 0.4136
```

Calculated values
* theoretical density: 9.13 g/cm3
* energy relative to the elements: 53 meV per atom

=====

The following is a DFT calculation (PBE) of crystalline CeThCo2 at its relaxed geometry. Values from VASP.

```
&SYSTEM
  ibrav = 0, nat = 4, ntyp = 3
/
ATOMIC_SPECIES
Th 232.04 Th.upf
Co 58.93 Co.upf
Ce 140.12 Ce.upf
CELL_PARAMETERS angstrom
-2.7529 2.4664 -0.3059
-0.6636 -1.1854 -3.5863
-2.2637 -5.0403 2.0848
ATOMIC_POSITIONS crystal
Th 0.4471 0.5000 0.4340
Co 0.1770 0.5000 0.8924
Co 0.9922 0.0000 0.5243
Ce 0.7147 0.0000 0.9673
```

Calculated values
* theoretical density: 10.20 g/cm3
* energy relative to the lowest polymorph listed for this composition: 0.00 eV per formula unit
* energy relative to the elements: -296 meV per atom

=====

The following is a DFT calculation (PBE) of crystalline Dy3AlGa2Au6 at its relaxed geometry. Values from VASP.

```
&SYSTEM
  ibrav = 0, nat = 12, ntyp = 4
/
ATOMIC_SPECIES
Dy 162.50 Dy.upf
Au 196.97 Au.upf
Al 26.98 Al.upf
Ga 69.72 Ga.upf
CELL_PARAMETERS angstrom
-2.0951 5.5821 0.4365
-1.6383 -3.4570 -4.5940
-6.5032 -2.7861 4.4157
ATOMIC_POSITIONS crystal
Dy 0.0000 0.0000 0.0000
Dy 0.6667 0.3333 0.3829
Dy 0.3333 0.6667 0.6171
Au 0.6504 0.8252 0.2779
Au 0.1748 0.8252 0.2779
Au 0.8252 0.6504 0.7221
Au 0.3496 0.1748 0.7221
Au 0.1748 0.3496 0.2779
Au 0.8252 0.1748 0.7221
Al 0.0000 0.0000 0.5000
Ga 0.3333 0.6667 0.9978
Ga 0.6667 0.3333 0.0022
```

Calculated values
* theoretical density: 11.81 g/cm3
* energy relative to the elements: -544 meV per atom

=====

The following is a DFT calculation (PBE) of crystalline TlCu2Mo at its relaxed geometry. Values from VASP.

```
&SYSTEM
  ibrav = 0, nat = 4, ntyp = 3
/
ATOMIC_SPECIES
Cu 63.55 Cu.upf
Tl 204.38 Tl.upf
Mo 95.94 Mo.upf
CELL_PARAMETERS angstrom
4.6888 -0.0088 -0.0141
3.8109 2.7318 -0.0141
0.6113 0.1958 5.1551
ATOMIC_POSITIONS crystal
Cu 0.0077 0.0077 0.9517
Cu 0.4923 0.4923 0.5483
Tl 0.2500 0.2500 0.2500
Mo 0.7500 0.7500 0.7500
```

Calculated values
* theoretical density: 10.72 g/cm3
* energy relative to the lowest polymorph listed for this composition: 0.41 eV per formula unit
* energy relative to the elements: 530 meV per atom

=====

The following is a DFT calculation (PBE) of crystalline Th2CuSn at its relaxed geometry. Values from VASP.

```
&SYSTEM
  ibrav = 0, nat = 4, ntyp = 3
/
ATOMIC_SPECIES
Sn 118.71 Sn.upf
Th 232.04 Th.upf
Cu 63.55 Cu.upf
CELL_PARAMETERS angstrom
-0.2748 -2.8742 -1.9631
2.5235 -2.4118 0.0731
-4.3437 -6.8440 7.5236
ATOMIC_POSITIONS crystal
Sn 0.0000 0.0000 0.0000
Th 0.9006 0.9006 0.2981
Th 0.0994 0.0994 0.7019
Cu 0.5000 0.5000 0.5000
```

Calculated values
* theoretical density: 9.35 g/cm3
* energy relative to the lowest polymorph listed for this composition: 2.07 eV per formula unit
* energy relative to the elements: 178 meV per atom

=====

The following is a DFT calculation (PBE) of crystalline Er6Sn2TeSe3 at its relaxed geometry. Values from VASP.

```
&SYSTEM
  ibrav = 0, nat = 12, ntyp = 4
/
ATOMIC_SPECIES
Sn 118.71 Sn.upf
Er 167.26 Er.upf
Se 78.96 Se.upf
Te 127.60 Te.upf
CELL_PARAMETERS angstrom
-2.9592 -0.2274 2.9856
-3.8321 -6.1741 -4.2685
7.2804 -4.4551 3.9087
ATOMIC_POSITIONS crystal
Sn 0.8331 0.6668 0.6662
Sn 0.1669 0.3332 0.3338
Er 0.9990 0.7317 0.9981
Er 0.3282 0.9145 0.6563
Er 0.6648 0.5872 0.3297
Er 0.3352 0.4128 0.6703
Er 0.6718 0.0855 0.3437
Er 0.0010 0.2683 0.0019
Se 0.8362 0.1647 0.6724
Se 0.1638 0.8353 0.3276
Se 0.5000 0.5000 0.0000
Te 0.5000 0.0000 0.0000
```

Calculated values
* theoretical density: 8.42 g/cm3
* energy relative to the elements, uncorrected: -29.826 kcal/mol of atoms

=====

The following is a DFT calculation (PBE) of crystalline ThP2Au at its relaxed geometry. Values from VASP.

```
&SYSTEM
  ibrav = 0, nat = 4, ntyp = 3
/
ATOMIC_SPECIES
P 30.97 P.upf
Th 232.04 Th.upf
Au 196.97 Au.upf
CELL_PARAMETERS angstrom
3.7657 0.0000 0.0000
0.0000 4.5872 0.0000
0.0000 0.0000 4.5872
ATOMIC_POSITIONS crystal
P 0.0000 0.5000 0.0000
P 0.0000 0.0000 0.5000
Th 0.5000 0.0000 0.0000
Au 0.5000 0.5000 0.5000
```

Calculated values
* theoretical density: 10.29 g/cm3
* energy relative to the elements: -670 meV per atom

=====

The following is a DFT calculation (PBE) of crystalline Nd12Ho5Tl2 at its relaxed geometry. Values from VASP.

```
&SYSTEM
  ibrav = 0, nat = 19, ntyp = 3
/
ATOMIC_SPECIES
Ho 164.93 Ho.upf
Tl 204.38 Tl.upf
Nd 144.24 Nd.upf
CELL_PARAMETERS angstrom
9.4334 0.0000 0.0000
-4.7167 7.6925 1.1241
0.0000 -1.7183 8.4721
ATOMIC_POSITIONS crystal
Ho 0.2322 0.4644 0.5857
Ho 0.0000 0.0000 0.5000
Ho 0.6850 0.3701 0.0051
Ho 0.7678 0.5356 0.4143
Ho 0.3150 0.6299 0.9949
Tl 0.3181 0.0000 0.0000
Tl 0.6819 0.0000 0.0000
Nd 0.1817 0.7530 0.3442
Nd 0.9659 0.3018 0.2339
Nd 0.0341 0.6982 0.7661
Nd 0.9162 0.8324 0.1153
Nd 0.8183 0.2470 0.6558
Nd 0.3359 0.3018 0.2339
Nd 0.6641 0.6982 0.7661
Nd 0.4431 0.8862 0.6808
Nd 0.4287 0.2470 0.6558
Nd 0.0838 0.1676 0.8847
Nd 0.5569 0.1138 0.3192
Nd 0.5713 0.7530 0.3442
```

Calculated values
* theoretical density: 7.78 g/cm3
* energy relative to the elements: 14 meV per atom

=====

Among the records above, which one has the highest theoretical density? Dy3AlGa2Au6

=====

Number 1 is which compound? ErNi3Rh